No. 1
Computed, not measured: a geometry-optimized Pr12GePd6 structure at the GGA-PBE level of DFT.

a = 8.633 Å, b = 8.633 Å, c = 8.633 Å
α = 99.56°, β = 99.56°, γ = 99.56°
Positions (direct):
Pr  0.819  0.590  0.424
Pr  0.424  0.819  0.590
Pr  0.590  0.424  0.819
Pr  0.181  0.410  0.576
Pr  0.576  0.181  0.410
Pr  0.410  0.576  0.181
Pr  0.090  0.943  0.324
Pr  0.057  0.676  0.910
Pr  0.676  0.910  0.057
Pr  0.910  0.057  0.676
Pr  0.943  0.324  0.090
Pr  0.324  0.090  0.943
Ge  0.000  0.000  0.000
Pd  0.675  0.865  0.385
Pd  0.615  0.325  0.135
Pd  0.135  0.615  0.325
Pd  0.325  0.135  0.615
Pd  0.385  0.675  0.865
Pd  0.865  0.385  0.675

Values from the calculation:
**Space group**: R-3 (148)
**Calculated formation energy**: -41 kJ per mole of atoms

No. 2
Computed, not measured: a geometry-optimized Ac6LaRu2 structure at the GGA-PBE level of DFT.

a = 10.695 Å, b = 8.793 Å, c = 8.793 Å
α = 75.08°, β = 67.95°, γ = 67.95°
Positions (direct):
Ac  0.566  0.611  0.618
Ac  0.934  0.382  0.389
Ac  0.434  0.389  0.382
Ac  0.066  0.618  0.611
Ac  0.030  0.961  0.240
Ac  0.470  0.760  0.039
Ac  0.970  0.039  0.760
Ac  0.530  0.240  0.961
Ac  0.178  0.588  0.015
Ac  0.322  0.985  0.412
Ac  0.822  0.412  0.985
Ac  0.678  0.015  0.588
La  0.250  0.162  0.838
La  0.750  0.838  0.162
Ru  0.372  0.403  0.736
Ru  0.128  0.264  0.597
Ru  0.628  0.597  0.264
Ru  0.872  0.736  0.403

Values from the calculation:
**Space group**: C2/c (15)
**Calculated formation energy**: -2 kJ per mole of atoms

No. 3
Computed, not measured: a geometry-optimized Pr structure at the GGA-PBE level of DFT.

a = 3.716 Å, b = 3.717 Å, c = 3.717 Å
α = 59.98°, β = 60.01°, γ = 60.01°
Positions (direct):
Pr  0.000  0.500  0.500

Values from the calculation:
**Space group**: Fm-3m (225)
**Calculated formation energy**: 1 kJ per mole of atoms

No. 4
Computed, not measured: a geometry-optimized TeAu3 structure at the GGA-PBE level of DFT.

a = 5.831 Å, b = 5.831 Å, c = 5.831 Å
α = 150.21°, β = 122.54°, γ = 66.07°
Positions (direct):
Au  0.752  0.761  0.991
Au  0.230  0.239  0.991
Au  0.183  0.500  0.683
Te  0.669  0.000  0.669

Values from the calculation:
**Space group**: Imm2 (44)
**Formation energy from raw total energies**: 0.774 eV per formula unit

No. 5
Computed, not measured: a geometry-optimized LaErTm3Sc structure at the GGA-PBE level of DFT.

a = 4.943 Å, b = 7.815 Å, c = 9.947 Å
α = 90.00°, β = 90.00°, γ = 108.44°
Positions (direct):
La  0.497  0.994  0.750
La  0.503  0.006  0.250
Er  0.000  0.000  0.500
Er  0.000  0.000  0.000
Tm  0.669  0.338  0.501
Tm  0.331  0.662  0.499
Tm  0.331  0.662  0.001
Tm  0.669  0.338  0.999
Tm  0.172  0.343  0.750
Tm  0.828  0.657  0.250
Sc  0.830  0.660  0.750
Sc  0.170  0.340  0.250

Values from the calculation:
**Space group**: Cmcm (63)
**Calculated formation energy**: 5 kJ per mole of atoms

No. 6
Computed, not measured: a geometry-optimized BaSnBr5 structure at the GGA-PBE level of DFT.

a = 7.970 Å, b = 7.970 Å, c = 11.098 Å
α = 69.33°, β = 69.33°, γ = 69.60°
Positions (direct):
Ba  0.562  0.438  0.250
Ba  0.438  0.562  0.750
Sn  0.000  0.000  0.000
Sn  0.000  0.000  0.500
Br  0.788  0.748  0.122
Br  0.290  0.678  0.477
Br  0.748  0.788  0.622
Br  0.941  0.059  0.250
Br  0.322  0.710  0.023
Br  0.678  0.290  0.977
Br  0.059  0.941  0.750
Br  0.252  0.212  0.378
Br  0.710  0.322  0.523
Br  0.212  0.252  0.878

Values from the calculation:
**Space group**: C2/c (15)
**Formation energy from raw total energies**: -8.689 eV per formula unit

Total energy: -5.330 -5.365 -4.771 -3.050 -4.819 -3.283 (eV/atom)
Magnetic moment: 0.0 0.0 0.0 0.0 0.0 0.0 (μB/cell)